The following is a GGA+U calculation of a relaxed LiW2NF crystal, from Alexandria.

Calculated values
energy = -5.05 eV/atom
spin magnetization = 3.07 Bohr magnetons per cell

Cell lengths 4.010, 4.010, 5.646 Å; angles 90.00, 90.00, 90.00 degrees
Space group P4/mmm (No. 123)
Inequivalent atoms, fractional coordinates:
Li 0.000 0.000 0.000
W 0.000 0.500 0.500
N 0.500 0.500 0.500
F 0.500 0.500 0.000